First-principles (GGA-PBE) data for a relaxed structure of HfPbN, as listed in Alexandria via LeMat-Bulk.

Computed properties:
The calculation puts the uncorrected formation energy at 0.091 eV per atom. For the density of states at the Fermi level, the calculation gives 0.619 states/eV per atom. The spin magnetization comes out at 0.000 μB per formula unit.

abc: 13.2776 13.2776 3.5266
angles: 90.00 90.00 165.62
Element x y z (fractional)
Hf (0.0909, 0.9091, 0.7500)
Hf (0.9091, 0.0909, 0.2500)
Pb (0.1939, 0.8061, 0.2500)
Pb (0.8061, 0.1939, 0.7500)
N (0.4468, 0.5532, 0.2500)
N (0.5532, 0.4468, 0.7500)